TaPbCl4 | PBE | optimized geometry

Output
**Uncorrected formation energy**: 465 kJ/mol of formula units
**Space group**: F-43m, No. 216
**Crystal system**: cubic

Cell: 5.844 5.844 5.844 Å, 60.00 60.00 60.00°
Fractional coordinates of all 6 atoms:
1 Ta 0.000 0.000 0.000
2 Pb 0.250 0.250 0.250
3 Cl 0.122 0.626 0.626
4 Cl 0.626 0.122 0.626
5 Cl 0.626 0.626 0.122
6 Cl 0.626 0.626 0.626